# 1
A plane-wave DFT calculation with GGA-PBE was carried out for a relaxed structure of NbCdIr2.

The structure belongs to space group P4/mmm (No. 123); the cell edges are 2.958, 2.958 and 7.679 Å and the angles 90.00°, 90.00° and 90.00°. The inequivalent atoms are Nb at (0.000, 0.000, 0.000), Cd at (0.000, 0.000, 0.500) and Ir at (0.500, 0.500, 0.232).

The size of the total moment comes out at 0.00 μB per cell. The energy relative to the elements comes out at -255 meV/atom.

***

# 2
A plane-wave DFT calculation with GGA-PBE was carried out for a relaxed structure of NbCd2Ir.

The structure belongs to space group Fm-3m (No. 225); the cell edges are 6.585, 6.585 and 6.585 Å and the angles 90.00°, 90.00° and 90.00°. The inequivalent atoms are Nb at (0.000, 0.000, 0.000), Cd at (0.250, 0.250, 0.250) and Ir at (0.000, 0.000, 0.500).

The calculation puts the distance to the lowest polymorph of the same formula at 0 meV/atom. The size of the total moment comes out at 0.66 μB per cell. The energy relative to the elements comes out at 335 meV/atom.

***

# 3
A plane-wave DFT calculation with GGA-PBE was carried out for a relaxed structure of Nb2CdIr.

The structure belongs to space group I-42d (No. 122); the cell edges are 7.621, 7.621 and 5.471 Å and the angles 90.00°, 90.00° and 90.00°. The inequivalent atoms are Nb at (0.202, 0.250, 0.125), Cd at (0.000, 0.000, 0.500) and Ir at (0.000, 0.000, 0.000).

The size of the total moment comes out at 0.00 μB per cell. The energy relative to the elements comes out at 290 meV/atom.

***

# 4
A plane-wave DFT calculation with GGA-PBE was carried out for a relaxed structure of NbCdIr.

The structure belongs to space group Fmmm (No. 69); the cell edges are 5.914, 7.144 and 11.146 Å and the angles 90.00°, 90.00° and 90.00°. The inequivalent atoms are Nb at (0.250, 0.250, 0.250), Cd at (0.000, 0.182, 0.000) and Ir at (0.000, 0.000, 0.365).

The size of the total moment comes out at 0.00 μB per cell. The energy relative to the elements comes out at -7 meV/atom.

***

# 5
A plane-wave DFT calculation with GGA-PBE was carried out for a relaxed structure of NbCdIrO6.

The structure belongs to space group P4_2nm (No. 102); the cell edges are 4.859, 4.859 and 9.597 Å and the angles 90.00°, 90.00° and 90.00°. The inequivalent atoms are Nb at (0.000, 0.000, 0.000), Cd at (0.000, 0.000, 0.329), Ir at (0.000, 0.000, 0.662), O at (0.175, 0.175, 0.826), O at (0.209, 0.209, 0.517) and O at (0.219, 0.219, 0.141).

The size of the total moment comes out at 2.63 μB per cell. The value obtained for the uncorrected formation energy is -1.42 eV per atom.

***

# 6
A plane-wave DFT calculation with GGA-PBE was carried out for a relaxed structure of NbCdIr2Pd.

The structure belongs to space group P4/mmm (No. 123); the cell edges are 4.796, 4.796 and 4.898 Å and the angles 90.00°, 90.00° and 90.00°. The inequivalent atoms are Nb at (0.000, 0.000, 0.000), Cd at (0.000, 0.000, 0.500), Ir at (0.000, 0.500, 0.500) and Pd at (0.500, 0.500, 0.000).

The size of the total moment comes out at 0.00 μB per cell. The energy relative to the elements comes out at 2164 meV/atom.

***

# 7
A plane-wave DFT calculation with GGA-PBE was carried out for a relaxed structure of NbCdIrRh.

The structure belongs to space group F-43m (No. 216); the cell edges are 6.419, 6.419 and 6.419 Å and the angles 90.00°, 90.00° and 90.00°. The inequivalent atoms are Nb at (0.000, 0.000, 0.000), Cd at (0.000, 0.000, 0.500), Ir at (0.250, 0.250, 0.750) and Rh at (0.250, 0.250, 0.250).

The size of the total moment comes out at 0.00 μB per cell. The energy relative to the elements comes out at -215 meV/atom.

***

# 8
A plane-wave DFT calculation with GGA-PBE was carried out for a relaxed structure of NbCd2IrRu.

The structure belongs to space group P4/mmm (No. 123); the cell edges are 5.018, 5.018 and 4.665 Å and the angles 90.00°, 90.00° and 90.00°. The inequivalent atoms are Nb at (0.000, 0.000, 0.000), Cd at (0.000, 0.500, 0.500), Ir at (0.500, 0.500, 0.000) and Ru at (0.500, 0.500, 0.500).

The size of the total moment comes out at 3.13 μB per cell. The energy relative to the elements comes out at 1324 meV/atom.